Entry 1:
Below is an optimized crystal structure of SnP2Pb2, with properties calculated at the PBE level.

The structure in POSCAR format:
```
SnP2Pb2
1.0
7.910 0.000 0.000
0.000 7.910 0.000
0.000 0.000 4.020
Sn P Pb
2 4 4
Cartesian
0.000 0.000 0.000
3.955 3.955 0.000
1.348 2.607 0.000
2.607 6.562 0.000
5.304 1.348 0.000
6.562 5.304 0.000
1.170 5.126 2.010
2.785 1.170 2.010
5.126 6.740 2.010
6.740 2.785 2.010
```

Calculated values
Formation enthalpy at 0 K in eV per atom: 0.199
Excess energy over the best structure of this formula in the dataset in eV per atom: 0.027

Entry 2:
Below is an optimized crystal structure of CsTl6F8, with properties calculated at the PBE level.

The structure in POSCAR format:
```
CsTl6F8
1.0
5.565 3.213 3.308
-5.565 3.213 3.308
0.000 -6.426 3.308
Cs Tl F
1 6 8
Cartesian
0.000 0.000 0.000
-2.512 0.274 3.201
1.018 -2.312 3.201
-1.494 -2.038 6.723
1.494 2.038 3.201
-1.018 2.312 6.723
2.512 -0.274 6.723
-3.408 -1.285 5.038
-0.591 -3.594 4.886
0.000 0.000 3.223
-2.817 2.308 4.886
2.817 -2.308 5.038
0.000 0.000 6.701
0.591 3.594 5.038
3.408 1.285 4.886
```

Calculated values
Uncorrected formation energy in eV/atom: -1.81

Entry 3:
Below is an optimized crystal structure of LiFe2H8, with properties calculated at the PBE level.

The structure in POSCAR format:
```
LiFe2H8
1.0
2.221 -3.737 0.000
2.221 3.737 0.000
-1.861 0.000 4.380
Li Fe H
1 2 8
Cartesian
0.000 0.000 0.000
0.291 1.334 2.876
0.291 -1.334 2.876
0.913 2.804 2.590
0.540 0.000 1.902
1.609 1.449 1.848
0.301 0.000 3.901
1.494 1.669 3.997
1.609 -1.449 1.848
0.913 -2.804 2.590
1.494 -1.669 3.997
```

Calculated values
Total energy in eV per atom: -4.130

Entry 4:
Below is an optimized crystal structure of TlAg3Bi, with properties calculated at the PBE level.

The structure in POSCAR format:
```
TlAg3Bi
1.0
5.463 0.000 0.000
0.000 5.463 0.000
0.000 0.000 5.463
Tl Ag Bi
1 3 1
Cartesian
0.000 0.000 0.000
0.000 2.731 2.731
2.731 0.000 2.731
2.731 2.731 0.000
2.731 2.731 2.731
```

Calculated values
Formation enthalpy at 0 K in eV per atom: 0.413
Excess energy over the best structure of this formula in the dataset in eV per atom: 0.000

Entry 5:
Below is an optimized crystal structure of CrCuHgGe2, with properties calculated at the PBE level.

The structure in POSCAR format:
```
CrCuHgGe2
1.0
4.673 0.000 0.000
0.000 4.673 0.000
0.000 0.000 4.883
Cr Cu Hg Ge
1 1 1 2
Cartesian
0.000 0.000 0.000
0.000 0.000 2.442
2.337 2.337 2.442
0.000 2.337 0.000
2.337 0.000 0.000
```

Calculated values
Formation enthalpy at 0 K in eV per atom: 0.576

Entry 6:
Below is an optimized crystal structure of TbGePt4, with properties calculated at the PBE level.

The structure in POSCAR format:
```
TbGePt4
1.0
0.000 3.802 3.802
3.802 0.000 3.802
3.802 3.802 0.000
Tb Ge Pt
1 1 4
Cartesian
0.000 0.000 0.000
5.703 5.703 5.703
2.853 2.853 2.853
4.751 4.751 2.853
4.751 2.853 4.751
2.853 4.751 4.751
```

Calculated values
Formation enthalpy at 0 K in eV per atom: -0.649
Excess energy over the best structure of this formula in the dataset in eV per atom: 0.147

Entry 7:
Below is an optimized crystal structure of Cs2Tl2PO4, with properties calculated at the PBE level.

The structure in POSCAR format:
```
Cs2Tl2PO4
1.0
-3.467 3.467 4.225
3.467 -3.467 4.225
3.467 3.467 -4.225
Cs Tl P O
2 2 1 4
Cartesian
3.467 0.000 2.113
0.000 3.467 2.113
0.000 0.000 1.482
0.000 0.000 6.968
0.000 0.000 4.225
2.286 2.286 0.000
1.181 -1.181 4.225
-1.181 1.181 4.225
1.181 1.181 4.225
```

Calculated values
Uncorrected formation energy in eV/atom: -0.93

Entry 8:
Below is an optimized crystal structure of Dy3BeRh2, with properties calculated at the PBE level.

The structure in POSCAR format:
```
Dy3BeRh2
1.0
11.194 0.000 0.000
0.000 3.910 0.000
0.000 0.000 11.593
Dy Be Rh
12 4 8
Cartesian
0.695 0.978 1.402
1.385 2.933 6.451
2.263 0.978 9.319
3.334 2.933 3.523
4.212 0.978 0.654
4.902 2.933 7.198
6.292 0.978 4.395
6.982 2.933 10.939
7.860 0.978 8.071
8.931 2.933 2.274
9.809 0.978 5.142
10.499 2.933 10.191
1.400 0.978 4.275
4.197 2.933 10.071
6.997 0.978 1.522
9.794 2.933 7.318
0.346 2.933 3.684
2.170 2.933 11.348
3.427 0.978 5.551
5.251 0.978 9.480
5.943 2.933 2.113
7.767 2.933 6.042
9.024 0.978 0.245
10.848 0.978 7.910
```

Calculated values
Formation enthalpy at 0 K in eV per atom: -0.660